No. 1
Entry from Alexandria: a relaxed structure of Ho3Tm4S8 (PBE).

The value obtained for the uncorrected energy is -6.336 eV/atom. The formation energy from raw total energies is -195.5 kJ/mol of atoms. Its density is 7.3 g/cm³. As for the density of states at the Fermi level: 6.0 states/eV per cell. Its space-group type is C2/m, No. 12.

abc: 7.7088 7.7088 7.7047
angles: 119.97 119.97 90.01
With the nearest neighbours (Å) after each atom.
Fractional positions:
1 Ho 0.0000 0.0000 0.0000  6 S 2.74
2 Ho 0.0000 0.5000 0.0000  6 S 2.73
3 Ho 0.5000 0.0000 0.0000  6 S 2.73
4 Tm 0.0000 0.5000 0.5000  6 S 2.73
5 Tm 0.5000 0.0000 0.5000  6 S 2.73
6 Tm 0.5000 0.5000 0.0000  6 S 2.71
7 Tm 0.5000 0.5000 0.5000  6 S 2.73
8 S 0.2499 0.7501 0.5000  3 Tm 2.73, 2 Ho 2.73
9 S 0.2513 0.2513 0.0001  2 Tm 2.71-2.73, 3 Ho 2.73-2.74
10 S 0.2510 0.2510 0.5025  4 Tm 2.71-2.73, 1 Ho 2.74
11 S 0.2512 0.7488 0.0000  3 Tm 2.71-2.73, 3 Ho 2.73-2.74
12 S 0.7488 0.2512 0.0000  3 Tm 2.71-2.73, 3 Ho 2.73-2.74
13 S 0.7487 0.7487 0.9999  2 Tm 2.71-2.73, 3 Ho 2.73-2.74
14 S 0.7490 0.7490 0.4975  4 Tm 2.71-2.73, 1 Ho 2.74
15 S 0.7501 0.2499 0.5000  3 Tm 2.73, 2 Ho 2.73

=====

No. 2
Entry from Alexandria: a relaxed structure of HoTm2S (PBE).

The value obtained for the uncorrected energy is -5.104 eV/atom. The distance to the lowest polymorph of the same formula comes out at 244 meV/atom. The formation energy from raw total energies is -66.8 kJ/mol of atoms. Its density is 8.0 g/cm³. As for the density of states at the Fermi level: 12.7 states/eV per cell. Its space-group type is R-3m, No. 166.

abc: 3.5864 3.5864 29.8776
angles: 90.00 90.00 120.00
With the nearest neighbours (Å) after each atom.
Fractional positions:
1 Ho 0.0000 0.0000 0.0000  2 Tm 3.34, 6 Ho 3.59
2 Ho 0.3333 0.6667 0.6667  2 Tm 3.34, 6 Ho 3.59
3 Ho 0.6667 0.3333 0.3333  2 Tm 3.34, 6 Ho 3.59
4 Tm 0.0000 0.0000 0.1116  3 S 2.64
5 Tm 0.0000 0.0000 0.8884  3 S 2.64
6 Tm 0.3333 0.6667 0.5550  3 S 2.64
7 Tm 0.3333 0.6667 0.7783  3 S 2.64
8 Tm 0.6667 0.3333 0.2217  3 S 2.64
9 Tm 0.6667 0.3333 0.4450  3 S 2.64
10 S 0.0000 0.0000 0.5000  6 Tm 2.64
11 S 0.3333 0.6667 0.1667  6 Tm 2.64
12 S 0.6667 0.3333 0.8333  6 Tm 2.64

=====

No. 3
Entry from Alexandria: a relaxed structure of Ho5Tm3S8 (PBE).

The value obtained for the uncorrected energy is -6.286 eV/atom. The formation energy from raw total energies is -188.4 kJ/mol of atoms. Its density is 8.1 g/cm³. As for the density of states at the Fermi level: 8.8 states/eV per cell. Its space-group type is R-3m, No. 166.

abc: 7.7392 7.7392 7.7392
angles: 59.97 59.97 59.97
With the nearest neighbours (Å) after each atom.
Fractional positions:
1 Ho 0.0000 0.0000 0.0000  6 S 2.74
2 Ho 0.0000 0.5000 0.5000  6 S 2.75
3 Ho 0.5000 0.0000 0.5000  6 S 2.75
4 Ho 0.5000 0.5000 0.0000  6 S 2.75
5 Ho 0.5000 0.5000 0.5000  6 S 2.74
6 Tm 0.0000 0.0000 0.5000  6 S 2.72
7 Tm 0.0000 0.5000 0.0000  6 S 2.72
8 Tm 0.5000 0.0000 0.0000  6 S 2.72
9 S 0.2470 0.7500 0.7500  2 Tm 2.72, 4 Ho 2.74-2.75
10 S 0.2485 0.2485 0.2485  3 Tm 2.72, 3 Ho 2.75
11 S 0.2500 0.2500 0.7530  2 Tm 2.72, 4 Ho 2.74-2.75
12 S 0.2500 0.7530 0.2500  2 Tm 2.72, 4 Ho 2.74-2.75
13 S 0.7500 0.2470 0.7500  2 Tm 2.72, 4 Ho 2.74-2.75
14 S 0.7500 0.7500 0.2470  2 Tm 2.72, 4 Ho 2.74-2.75
15 S 0.7515 0.7515 0.7515  3 Tm 2.72, 3 Ho 2.75
16 S 0.7530 0.2500 0.2500  2 Tm 2.72, 4 Ho 2.74-2.75

=====

No. 4
Entry from Alexandria: a relaxed structure of HoTmS3 (PBE).

The value obtained for the uncorrected energy is -6.297 eV/atom. The distance to the lowest polymorph of the same formula comes out at 24 meV/atom. The formation energy from raw total energies is -194.0 kJ/mol of atoms. Its density is 6.1 g/cm³. As for the density of states at the Fermi level: 0.0 states/eV per cell. Its space-group type is C2/m, No. 12.

abc: 8.1434 8.1434 8.2780
angles: 116.24 116.24 28.81
With the nearest neighbours (Å) after each atom.
Fractional positions:
1 Ho 0.1309 0.1309 0.2912  6 S 2.65-2.84
2 Ho 0.8691 0.8691 0.7088  6 S 2.65-2.84
3 Tm 0.3525 0.3525 0.2380  7 S 2.70-2.99
4 Tm 0.6475 0.6475 0.7620  7 S 2.70-2.99
5 S 0.1454 0.1454 0.9757  3 Tm 2.70-2.99, 1 Ho 2.72
6 S 0.2328 0.2328 0.6553  3 Ho 2.69-2.84, 2 Tm 2.79
7 S 0.4560 0.4560 0.6397  2 Ho 2.65, 2 Tm 2.71-2.96
8 S 0.5440 0.5440 0.3603  2 Ho 2.65, 2 Tm 2.71-2.96
9 S 0.7672 0.7672 0.3447  3 Ho 2.69-2.84, 2 Tm 2.79
10 S 0.8546 0.8546 0.0243  3 Tm 2.70-2.99, 1 Ho 2.72

=====

No. 5
Entry from Alexandria: a relaxed structure of HoTm4S6 (PBE).

The value obtained for the uncorrected energy is -6.302 eV/atom. The formation energy from raw total energies is -193.8 kJ/mol of atoms. Its density is 7.3 g/cm³. As for the density of states at the Fermi level: 5.2 states/eV per cell. Its space-group type is Cmcm, No. 63.

abc: 6.6041 6.6041 19.5751
angles: 90.00 90.00 146.78
With the nearest neighbours (Å) after each atom.
Fractional positions:
1 Ho 0.1516 0.8484 0.7500  6 S 2.74-2.81
2 Ho 0.8484 0.1516 0.2500  6 S 2.74-2.81
3 Tm 0.0913 0.9087 0.1272  6 S 2.69-2.75
4 Tm 0.0913 0.9087 0.3728  6 S 2.69-2.75
5 Tm 0.3613 0.6387 0.0395  6 S 2.69-2.76
6 Tm 0.3613 0.6387 0.4605  6 S 2.69-2.76
7 Tm 0.6387 0.3613 0.5395  6 S 2.69-2.76
8 Tm 0.6387 0.3613 0.9605  6 S 2.69-2.76
9 Tm 0.9087 0.0913 0.6272  6 S 2.69-2.75
10 Tm 0.9087 0.0913 0.8728  6 S 2.69-2.75
11 S 0.0000 0.0000 0.0000  6 Tm 2.69-2.75
12 S 0.0000 0.0000 0.5000  6 Tm 2.69-2.75
13 S 0.1915 0.8085 0.2500  2 Tm 2.72, 2 Ho 2.74
14 S 0.2695 0.7305 0.5885  5 Tm 2.69-2.76
15 S 0.2695 0.7305 0.9115  5 Tm 2.69-2.76
16 S 0.4497 0.5503 0.1665  3 Tm 2.71-2.73, 2 Ho 2.81
17 S 0.4497 0.5503 0.3335  3 Tm 2.71-2.73, 2 Ho 2.81
18 S 0.5503 0.4497 0.6665  3 Tm 2.71-2.73, 2 Ho 2.81
19 S 0.5503 0.4497 0.8335  3 Tm 2.71-2.73, 2 Ho 2.81
20 S 0.7305 0.2695 0.0885  5 Tm 2.69-2.76
21 S 0.7305 0.2695 0.4115  5 Tm 2.69-2.76
22 S 0.8085 0.1915 0.7500  2 Tm 2.72, 2 Ho 2.74

=====

No. 6
Entry from Alexandria: a relaxed structure of Y3Ho2TmS6 (PBE).

The value obtained for the uncorrected energy is -6.794 eV/atom. The formation energy from raw total energies is -190.9 kJ/mol of atoms. Its density is 6.4 g/cm³. As for the density of states at the Fermi level: 5.3 states/eV per cell. Its space-group type is C2/m, No. 12.

abc: 8.6997 8.6997 7.8181
angles: 103.17 103.17 25.80
With the nearest neighbours (Å) after each atom.
Fractional positions:
1 Y 0.0000 0.0000 0.0000  6 S 2.76-2.79
2 Y 0.3326 0.3326 0.6672  6 S 2.76-2.77
3 Y 0.6674 0.6674 0.3328  6 S 2.76-2.77
4 Ho 0.3329 0.3329 0.1659  6 S 2.73-2.75
5 Ho 0.6671 0.6671 0.8341  6 S 2.73-2.75
6 Tm 0.0000 0.0000 0.5000  6 S 2.72-2.73
7 S 0.1646 0.1646 0.5842  1 Tm 2.72, 2 Ho 2.75, 3 Y 2.77
8 S 0.1671 0.1671 0.0813  3 Ho 2.73-2.74, 3 Y 2.76
9 S 0.4995 0.4995 0.2550  2 Tm 2.73, 1 Ho 2.75, 3 Y 2.77-2.79
10 S 0.5005 0.5005 0.7450  2 Tm 2.73, 1 Ho 2.75, 3 Y 2.77-2.79
11 S 0.8329 0.8329 0.9187  3 Ho 2.73-2.74, 3 Y 2.76
12 S 0.8354 0.8354 0.4158  1 Tm 2.72, 2 Ho 2.75, 3 Y 2.77

=====

No. 7
Entry from Alexandria: a relaxed structure of YHoTm2S4 (PBE).

The value obtained for the uncorrected energy is -6.517 eV/atom. The formation energy from raw total energies is -188.7 kJ/mol of atoms. Its density is 7.3 g/cm³. As for the density of states at the Fermi level: 4.8 states/eV per cell. Its space-group type is P2/m, No. 10.

abc: 6.7102 3.8371 6.7446
angles: 90.00 109.05 90.00
With the nearest neighbours (Å) after each atom.
Fractional positions:
1 Y 0.0000 0.0000 0.0000  6 S 2.77
2 Ho 0.5000 0.5000 0.0000  6 S 2.75-2.76
3 Tm 0.0000 0.5000 0.5000  6 S 2.72
4 Tm 0.5000 0.0000 0.5000  6 S 2.71
5 S 0.2495 0.0000 0.7447  3 Tm 2.71-2.72, 2 Ho 2.75, 1 Y 2.77
6 S 0.2535 0.5000 0.2564  3 Tm 2.71-2.72, 1 Ho 2.76, 2 Y 2.77
7 S 0.7465 0.5000 0.7436  3 Tm 2.71-2.72, 1 Ho 2.76, 2 Y 2.77
8 S 0.7505 0.0000 0.2553  3 Tm 2.71-2.72, 2 Ho 2.75, 1 Y 2.77

=====

No. 8
Entry from Alexandria: a relaxed structure of YHo4Tm3S8 (PBE).

The value obtained for the uncorrected energy is -6.406 eV/atom. The formation energy from raw total energies is -188.7 kJ/mol of atoms. Its density is 7.6 g/cm³. As for the density of states at the Fermi level: 8.9 states/eV per cell. Its space-group type is R-3m, No. 166.

abc: 7.7485 7.7485 7.7485
angles: 59.95 59.95 59.95
With the nearest neighbours (Å) after each atom.
Fractional positions:
1 Y 0.0000 0.0000 0.0000  6 S 2.75
2 Ho 0.0000 0.0000 0.5000  6 S 2.76
3 Ho 0.0000 0.5000 0.0000  6 S 2.76
4 Ho 0.5000 0.0000 0.0000  6 S 2.76
5 Ho 0.5000 0.5000 0.5000  6 S 2.73
6 Tm 0.0000 0.5000 0.5000  6 S 2.72
7 Tm 0.5000 0.0000 0.5000  6 S 2.72
8 Tm 0.5000 0.5000 0.0000  6 S 2.72
9 S 0.2511 0.2511 0.7459  2 Tm 2.72, 3 Ho 2.73-2.76, 1 Y 2.75
10 S 0.2511 0.7459 0.2511  2 Tm 2.72, 3 Ho 2.73-2.76, 1 Y 2.75
11 S 0.2515 0.2515 0.2515  3 Tm 2.72, 3 Ho 2.76
12 S 0.2541 0.7489 0.7489  2 Tm 2.72, 3 Ho 2.73-2.76, 1 Y 2.75
13 S 0.7459 0.2511 0.2511  2 Tm 2.72, 3 Ho 2.73-2.76, 1 Y 2.75
14 S 0.7485 0.7485 0.7485  3 Tm 2.72, 3 Ho 2.76
15 S 0.7489 0.2541 0.7489  2 Tm 2.72, 3 Ho 2.73-2.76, 1 Y 2.75
16 S 0.7489 0.7489 0.2541  2 Tm 2.72, 3 Ho 2.73-2.76, 1 Y 2.75

=====

No. 9
Entry from Alexandria: a relaxed structure of YHoTm4S8 (PBE).

The value obtained for the uncorrected energy is -6.348 eV/atom. The formation energy from raw total energies is -185.6 kJ/mol of atoms. Its density is 5.5 g/cm³. As for the density of states at the Fermi level: 8.2 states/eV per cell. Its space-group type is R3m, No. 160.

abc: 7.9734 7.9734 7.9734
angles: 59.86 59.86 59.86
With the nearest neighbours (Å) after each atom.
Fractional positions:
1 Y 0.0000 0.0000 0.0000  6 S 2.76-2.77
2 Ho 0.6255 0.6255 0.6255  4 S 2.59-2.61
3 Tm 0.0001 0.0001 0.4994  6 S 2.72-2.73
4 Tm 0.0001 0.4994 0.0001  6 S 2.72-2.73
5 Tm 0.3745 0.3745 0.3745  4 S 2.57-2.59
6 Tm 0.4994 0.0001 0.0001  6 S 2.72-2.73
7 S 0.2268 0.7549 0.7549  1 Ho 2.59, 2 Tm 2.72, 1 Y 2.76
8 S 0.2421 0.2421 0.2421  4 Tm 2.59-2.73
9 S 0.2457 0.2457 0.7703  3 Tm 2.57-2.72, 1 Y 2.77
10 S 0.2457 0.7703 0.2457  3 Tm 2.57-2.72, 1 Y 2.77
11 S 0.7549 0.2268 0.7549  1 Ho 2.59, 2 Tm 2.72, 1 Y 2.76
12 S 0.7549 0.7549 0.2268  1 Ho 2.59, 2 Tm 2.72, 1 Y 2.76
13 S 0.7589 0.7589 0.7589  1 Ho 2.61, 3 Tm 2.72
14 S 0.7703 0.2457 0.2457  3 Tm 2.57-2.72, 1 Y 2.77

=====

No. 10
Entry from Alexandria: a relaxed structure of YHo3Tm2S6 (PBE).

The value obtained for the uncorrected energy is -6.458 eV/atom. The formation energy from raw total energies is -189.7 kJ/mol of atoms. Its density is 7.5 g/cm³. As for the density of states at the Fermi level: 4.8 states/eV per cell. Its space-group type is C2/m, No. 12.

abc: 6.7174 6.7174 6.7131
angles: 99.56 99.56 120.23
With the nearest neighbours (Å) after each atom.
Fractional positions:
1 Y 0.0000 0.0000 0.0000  6 S 2.75-2.76
2 Ho 0.1643 0.8357 0.5000  6 S 2.74-2.75
3 Ho 0.5000 0.5000 0.5000  6 S 2.72-2.76
4 Ho 0.8357 0.1643 0.5000  6 S 2.74-2.75
5 Tm 0.3338 0.6662 0.0000  6 S 2.72-2.73
6 Tm 0.6662 0.3338 0.0000  6 S 2.72-2.73
7 S 0.0828 0.4208 0.2488  2 Tm 2.72-2.73, 3 Ho 2.74-2.76, 1 Y 2.76
8 S 0.2554 0.2554 0.7529  2 Tm 2.72, 3 Ho 2.72-2.74, 1 Y 2.75
9 S 0.4208 0.0828 0.2488  2 Tm 2.72-2.73, 3 Ho 2.74-2.76, 1 Y 2.76
10 S 0.5792 0.9172 0.7512  2 Tm 2.72-2.73, 3 Ho 2.74-2.76, 1 Y 2.76
11 S 0.7446 0.7446 0.2471  2 Tm 2.72, 3 Ho 2.72-2.74, 1 Y 2.75
12 S 0.9172 0.5792 0.7512  2 Tm 2.72-2.73, 3 Ho 2.74-2.76, 1 Y 2.76

=====

No. 11
Entry from Alexandria: a relaxed structure of Y4HoTm3S8 (PBE).

The value obtained for the uncorrected energy is -6.770 eV/atom. The formation energy from raw total energies is -189.6 kJ/mol of atoms. Its density is 6.4 g/cm³. As for the density of states at the Fermi level: 9.1 states/eV per cell. Its space-group type is R-3m, No. 166.

abc: 7.7852 7.7852 7.7852
angles: 59.80 59.80 59.80
With the nearest neighbours (Å) after each atom.
Fractional positions:
1 Y 0.0000 0.0000 0.0000  6 S 2.76
2 Y 0.0000 0.5000 0.5000  6 S 2.78
3 Y 0.5000 0.0000 0.5000  6 S 2.78
4 Y 0.5000 0.5000 0.0000  6 S 2.78
5 Ho 0.5000 0.5000 0.5000  6 S 2.74
6 Tm 0.0000 0.0000 0.5000  6 S 2.72
7 Tm 0.0000 0.5000 0.0000  6 S 2.72
8 Tm 0.5000 0.0000 0.0000  6 S 2.72
9 S 0.2458 0.7489 0.7489  2 Tm 2.72, 1 Ho 2.74, 3 Y 2.76-2.78
10 S 0.2473 0.2473 0.2473  3 Tm 2.72, 3 Y 2.78
11 S 0.2511 0.2511 0.7542  2 Tm 2.72, 1 Ho 2.74, 3 Y 2.76-2.78
12 S 0.2511 0.7542 0.2511  2 Tm 2.72, 1 Ho 2.74, 3 Y 2.76-2.78
13 S 0.7489 0.2458 0.7489  2 Tm 2.72, 1 Ho 2.74, 3 Y 2.76-2.78
14 S 0.7489 0.7489 0.2458  2 Tm 2.72, 1 Ho 2.74, 3 Y 2.76-2.78
15 S 0.7527 0.7527 0.7527  3 Tm 2.72, 3 Y 2.78
16 S 0.7542 0.2511 0.2511  2 Tm 2.72, 1 Ho 2.74, 3 Y 2.76-2.78

=====

No. 12
Entry from Alexandria: a relaxed structure of Y2HoTmS4 (PBE).

The value obtained for the uncorrected energy is -6.783 eV/atom. The formation energy from raw total energies is -190.3 kJ/mol of atoms. Its density is 6.4 g/cm³. As for the density of states at the Fermi level: 4.8 states/eV per cell. Its space-group type is P2/m, No. 10.

abc: 6.7488 3.8590 6.7718
angles: 90.00 109.08 90.00
With the nearest neighbours (Å) after each atom.
Fractional positions:
1 Y 0.0000 0.0000 0.0000  6 S 2.78
2 Y 0.5000 0.5000 0.0000  6 S 2.76
3 Ho 0.0000 0.5000 0.5000  6 S 2.74
4 Tm 0.5000 0.0000 0.5000  6 S 2.72-2.73
5 S 0.2504 0.0000 0.7452  1 Tm 2.73, 2 Ho 2.74, 3 Y 2.76-2.78
6 S 0.2541 0.5000 0.2562  2 Tm 2.72, 1 Ho 2.74, 3 Y 2.76-2.78
7 S 0.7459 0.5000 0.7438  2 Tm 2.72, 1 Ho 2.74, 3 Y 2.76-2.78
8 S 0.7496 0.0000 0.2548  1 Tm 2.73, 2 Ho 2.74, 3 Y 2.76-2.78

=====

> Among the records above, which one has the lowest uncorrected energy?

Y3Ho2TmS6

=====

> Among the records above, which one has the highest formation energy from raw total energies?

HoTm2S

=====

Please write out number 5 again, unchanged.
Entry from Alexandria: a relaxed structure of HoTm4S6 (PBE).

The value obtained for the uncorrected energy is -6.302 eV/atom. The formation energy from raw total energies is -193.8 kJ/mol of atoms. Its density is 7.3 g/cm³. As for the density of states at the Fermi level: 5.2 states/eV per cell. Its space-group type is Cmcm, No. 63.

abc: 6.6041 6.6041 19.5751
angles: 90.00 90.00 146.78
With the nearest neighbours (Å) after each atom.
Fractional positions:
1 Ho 0.1516 0.8484 0.7500  6 S 2.74-2.81
2 Ho 0.8484 0.1516 0.2500  6 S 2.74-2.81
3 Tm 0.0913 0.9087 0.1272  6 S 2.69-2.75
4 Tm 0.0913 0.9087 0.3728  6 S 2.69-2.75
5 Tm 0.3613 0.6387 0.0395  6 S 2.69-2.76
6 Tm 0.3613 0.6387 0.4605  6 S 2.69-2.76
7 Tm 0.6387 0.3613 0.5395  6 S 2.69-2.76
8 Tm 0.6387 0.3613 0.9605  6 S 2.69-2.76
9 Tm 0.9087 0.0913 0.6272  6 S 2.69-2.75
10 Tm 0.9087 0.0913 0.8728  6 S 2.69-2.75
11 S 0.0000 0.0000 0.0000  6 Tm 2.69-2.75
12 S 0.0000 0.0000 0.5000  6 Tm 2.69-2.75
13 S 0.1915 0.8085 0.2500  2 Tm 2.72, 2 Ho 2.74
14 S 0.2695 0.7305 0.5885  5 Tm 2.69-2.76
15 S 0.2695 0.7305 0.9115  5 Tm 2.69-2.76
16 S 0.4497 0.5503 0.1665  3 Tm 2.71-2.73, 2 Ho 2.81
17 S 0.4497 0.5503 0.3335  3 Tm 2.71-2.73, 2 Ho 2.81
18 S 0.5503 0.4497 0.6665  3 Tm 2.71-2.73, 2 Ho 2.81
19 S 0.5503 0.4497 0.8335  3 Tm 2.71-2.73, 2 Ho 2.81
20 S 0.7305 0.2695 0.0885  5 Tm 2.69-2.76
21 S 0.7305 0.2695 0.4115  5 Tm 2.69-2.76
22 S 0.8085 0.1915 0.7500  2 Tm 2.72, 2 Ho 2.74